# 1
The following is a PBE-GGA calculation of a relaxed CePm3As3 crystal, from the Alexandria database.

Cell lengths 8.9588, 8.9588, 8.9588 Å; angles 90.00, 90.00, 90.00 degrees
Each line ends with the local moment (μB).
Sites, in units of the cell vectors:
Ce: 0.0681 0.5681 0.9319  0.65
Ce: 0.9319 0.0681 0.5681  0.65
Ce: 0.4319 0.4319 0.4319  0.65
Ce: 0.5681 0.9319 0.0681  0.65
Pm: 0.8167 0.3167 0.1833  0.01
Pm: 0.9329 0.9329 0.9329  0.06
Pm: 0.8163 0.6837 0.3163  0.03
Pm: 0.1833 0.8167 0.3167  0.01
Pm: 0.1837 0.1837 0.1837  0.03
Pm: 0.3163 0.8163 0.6837  0.03
Pm: 0.0671 0.4329 0.5671  0.06
Pm: 0.3167 0.1833 0.8167  0.01
Pm: 0.6837 0.3163 0.8163  0.03
Pm: 0.6833 0.6833 0.6833  0.01
Pm: 0.5671 0.0671 0.4329  0.06
Pm: 0.4329 0.5671 0.0671  0.06
As: 0.7514 0.6231 0.9990  -0.01
As: 0.8769 0.0010 0.2514  -0.01
As: 0.9990 0.7514 0.6231  -0.01
As: 0.1231 0.5010 0.2486  -0.01
As: 0.2486 0.1231 0.5010  -0.01
As: 0.2514 0.8769 0.0010  -0.01
As: 0.0010 0.2514 0.8769  -0.01
As: 0.3769 0.4990 0.7486  -0.01
As: 0.5010 0.2486 0.1231  -0.01
As: 0.6231 0.9990 0.7514  -0.01
As: 0.7486 0.3769 0.4990  -0.01
As: 0.4990 0.7486 0.3769  -0.01

Summary:
- crystal system = cubic
- DOS at the Fermi energy (states/eV/cell) = 43.10
- space group = No. 198
- DFT formation energy (kJ/mol of formula units) = -844.4

---

# 2
The following is a PBE-GGA calculation of a relaxed CePmAs2 crystal, from the Alexandria database.

Cell lengths 3.6469, 5.1335, 5.1335 Å; angles 90.00, 90.00, 90.00 degrees
Each line ends with the local moment (μB).
Sites, in units of the cell vectors:
As: 0.0000 0.0000 0.5000  -0.04
As: 0.0000 0.5000 0.0000  -0.04
Ce: 0.5000 0.5000 0.5000  0.59
Pm: 0.5000 0.0000 0.0000  0.09

Summary:
- crystal system = tetragonal
- DOS at the Fermi energy (states/eV/cell) = 5.18
- space group = No. 123
- DFT formation energy (kJ/mol of formula units) = -426.3
- polymorph energy (0 for the lowest one) (eV/f.u.) = 1.51

---

# 3
The following is a PBE-GGA calculation of a relaxed CePmAs crystal, from the Alexandria database.

Cell lengths 6.6709, 4.0375, 4.0375 Å; angles 120.00, 90.00, 90.00 degrees
Each line ends with the local moment (μB).
Sites, in units of the cell vectors:
As: 0.0020 0.0000 0.0000  -0.02
Ce: 0.2638 0.3333 0.6667  1.02
Pm: 0.7342 0.6667 0.3333  0.24

Summary:
- crystal system = trigonal
- DOS at the Fermi energy (states/eV/cell) = 5.23
- space group = No. 156
- DFT formation energy (kJ/mol of formula units) = -222.1
- polymorph energy (0 for the lowest one) (eV/f.u.) = 0.62

---

# 4
The following is a PBE-GGA calculation of a relaxed Ce2Pm3PrAs6 crystal, from the Alexandria database.

Cell lengths 7.3477, 7.3477, 7.3442 Å; angles 99.60, 99.60, 119.99 degrees
Each line ends with the local moment (μB).
Sites, in units of the cell vectors:
Ce: 0.3330 0.6670 0.0000  0.54
Ce: 0.6670 0.3330 0.0000  0.54
Pm: 0.1655 0.8345 0.5000  0.01
Pm: 0.8345 0.1655 0.5000  0.01
Pm: 0.5000 0.5000 0.5000  0.01
Pr: 0.0000 0.0000 0.0000  0.01
As: 0.9171 0.5786 0.7516  -0.01
As: 0.7442 0.7442 0.2484  -0.01
As: 0.0829 0.4214 0.2484  -0.01
As: 0.5786 0.9171 0.7516  -0.01
As: 0.2558 0.2558 0.7516  -0.01
As: 0.4214 0.0829 0.2484  -0.01

Summary:
- crystal system = monoclinic
- DOS at the Fermi energy (states/eV/cell) = 11.38
- space group = No. 12
- DFT formation energy (kJ/mol of formula units) = -1732.1